## w
Density functional theory data (PBEsol) for crystalline CaLa at its relaxed geometry.

```
CaLa
1.0
8.4264 0.0000 0.0000
0.0000 8.4264 0.0000
0.0000 0.0000 8.4264
Ca La
8 8
direct
0.1250 0.1250 0.1250 Ca
0.1250 0.6250 0.6250 Ca
0.3750 0.3750 0.8750 Ca
0.3750 0.8750 0.3750 Ca
0.6250 0.1250 0.6250 Ca
0.6250 0.6250 0.1250 Ca
0.8750 0.3750 0.3750 Ca
0.8750 0.8750 0.8750 Ca
0.1250 0.1250 0.6250 La
0.1250 0.6250 0.1250 La
0.3750 0.3750 0.3750 La
0.3750 0.8750 0.8750 La
0.6250 0.1250 0.1250 La
0.6250 0.6250 0.6250 La
0.8750 0.3750 0.8750 La
0.8750 0.8750 0.3750 La
```

Values from the calculation:
N(E_F)   2.21 states/eV/f.u.

---

## x
Density functional theory data (PBEsol) for crystalline CaLa at its relaxed geometry.

```
CaLa
1.0
3.6820 0.0000 0.0000
-1.8410 3.1887 0.0000
0.0000 0.0000 18.7282
Ca La
3 3
direct
0.0000 0.0000 0.0000 Ca
0.3333 0.6667 0.6667 Ca
0.6667 0.3333 0.3333 Ca
0.0000 0.0000 0.5000 La
0.3333 0.6667 0.1667 La
0.6667 0.3333 0.8333 La
```

Values from the calculation:
N(E_F)   3.61 states/eV/f.u.

---

Stability ranking, top entry: x; the second entry is 0.050 eV/atom less favorable.

---

## w
Density functional theory data (PBEsol) for crystalline Ca2La at its relaxed geometry.

```
Ca2La
1.0
3.6549 0.0000 0.0000
0.0000 20.2371 0.0000
0.0000 0.0000 6.1606
Ca La
8 4
direct
0.0000 0.0519 0.2500 Ca
0.0000 0.2816 0.7500 Ca
0.0000 0.7184 0.2500 Ca
0.0000 0.9481 0.7500 Ca
0.5000 0.2184 0.2500 Ca
0.5000 0.4481 0.7500 Ca
0.5000 0.5519 0.2500 Ca
0.5000 0.7816 0.7500 Ca
0.0000 0.3858 0.2500 La
0.0000 0.6142 0.7500 La
0.5000 0.1142 0.7500 La
0.5000 0.8858 0.2500 La
```

Values from the calculation:
N(E_F)   4.74 states/eV/f.u.

---

## x
Density functional theory data (PBEsol) for crystalline Ca2La at its relaxed geometry.

```
Ca2La
1.0
6.0438 0.0000 0.0000
-3.0219 5.2341 0.0000
0.0000 0.0000 3.5770
Ca La
2 1
direct
0.3333 0.6667 0.0000 Ca
0.6667 0.3333 0.0000 Ca
0.0000 0.0000 0.5000 La
```

Values from the calculation:
N(E_F)   4.13 states/eV/f.u.

---

## y
Density functional theory data (PBEsol) for crystalline Ca2La at its relaxed geometry.

```
Ca2La
1.0
14.0388 0.0000 0.0000
0.0000 3.7154 0.0000
-2.2152 0.0000 8.7008
Ca La
8 4
direct
0.0240 0.0000 0.3111 Ca
0.1402 0.5000 0.0249 Ca
0.3598 0.0000 0.9751 Ca
0.4760 0.5000 0.6889 Ca
0.5240 0.5000 0.3111 Ca
0.6402 0.0000 0.0249 Ca
0.8598 0.5000 0.9751 Ca
0.9760 0.0000 0.6889 Ca
0.2069 0.5000 0.6262 La
0.2931 0.0000 0.3738 La
0.7069 0.0000 0.6262 La
0.7931 0.5000 0.3738 La
```

Values from the calculation:
N(E_F)   3.93 states/eV/f.u.

---

Stability ranking, top entry: y; the second entry is 0.046 eV/atom less favorable.

---

## w
Density functional theory data (PBEsol) for crystalline Ca2La at its relaxed geometry.

```
Ca2La
1.0
6.0309 0.0000 0.0000
-3.0155 5.2229 0.0000
0.0000 0.0000 3.5957
Ca La
2 1
direct
0.3333 0.6667 0.1125 Ca
0.6667 0.3333 0.8875 Ca
0.0000 0.0000 0.5000 La
```

Values from the calculation:
N(E_F)   4.08 states/eV/f.u.

---

## x
Density functional theory data (PBEsol) for crystalline Ca2La at its relaxed geometry.

```
Ca2La
1.0
14.0691 0.0000 0.0000
0.0000 3.7021 0.0000
-2.5502 0.0000 8.7236
Ca La
8 4
direct
0.0000 0.0000 0.0000 Ca
0.0542 0.0000 0.6164 Ca
0.1645 0.5000 0.3329 Ca
0.3285 0.0000 0.6700 Ca
0.5000 0.5000 0.0000 Ca
0.5542 0.5000 0.6164 Ca
0.6645 0.0000 0.3329 Ca
0.8285 0.5000 0.6700 Ca
0.2287 0.5000 0.9671 La
0.3827 0.0000 0.2628 La
0.7287 0.0000 0.9671 La
0.8827 0.5000 0.2628 La
```

Values from the calculation:
N(E_F)   4.16 states/eV/f.u.

---

Stability ranking, top entry: x; the second entry is 0.023 eV/atom less favorable.

---

## w
Density functional theory data (PBEsol) for crystalline CaLa5 at its relaxed geometry.

```
CaLa5
1.0
6.4288 0.0000 0.0000
-3.2144 5.5675 0.0000
0.0000 0.0000 5.8809
Ca La
1 5
direct
0.0000 0.0000 0.0000 Ca
0.0000 0.3635 0.5000 La
0.3333 0.6667 0.0000 La
0.3635 0.0000 0.5000 La
0.6365 0.6365 0.5000 La
0.6667 0.3333 0.0000 La
```

Values from the calculation:
N(E_F)   8.74 states/eV/f.u.

---

## x
Density functional theory data (PBEsol) for crystalline CaLa5 at its relaxed geometry.

```
CaLa5
1.0
3.6406 0.0000 0.0000
0.0000 3.6406 0.0000
0.0000 0.0000 15.8078
Ca La
1 5
direct
0.0000 0.0000 0.0000 Ca
0.0000 0.0000 0.3363 La
0.0000 0.0000 0.6637 La
0.5000 0.5000 0.1820 La
0.5000 0.5000 0.5000 La
0.5000 0.5000 0.8180 La
```

Values from the calculation:
N(E_F)   8.94 states/eV/f.u.

---

Stability ranking, top entry: x; the second entry is 0.039 eV/atom less favorable.

---

## w
Density functional theory data (PBEsol) for crystalline Li2CaLa at its relaxed geometry.

```
Li2CaLa
1.0
3.5433 0.0000 0.0000
0.0000 5.6951 0.0000
0.0000 0.0000 11.3511
Li Ca La
4 2 2
direct
0.0000 0.0000 0.0000 Li
0.0000 0.5000 0.3138 Li
0.5000 0.0000 0.8138 Li
0.5000 0.5000 0.5000 Li
0.0000 0.5000 0.7593 Ca
0.5000 0.0000 0.2593 Ca
0.0000 0.0000 0.5552 La
0.5000 0.5000 0.0552 La
```

Values from the calculation:
N(E_F)   4.73 states/eV/f.u.

---

## x
Density functional theory data (PBEsol) for crystalline Li2CaLa at its relaxed geometry.

```
Li2CaLa
1.0
3.7761 0.0000 0.0000
0.0000 3.7761 0.0000
0.0000 0.0000 8.0716
Li Ca La
2 1 1
direct
0.0000 0.0000 0.2475 Li
0.0000 0.0000 0.7525 Li
0.5000 0.5000 0.5000 Ca
0.5000 0.5000 0.0000 La
```

Values from the calculation:
N(E_F)   4.46 states/eV/f.u.

---

Stability ranking, top entry: x; the second entry is 0.021 eV/atom less favorable.

---

## w
Density functional theory data (PBEsol) for crystalline CaLaMg2 at its relaxed geometry.

```
CaLaMg2
1.0
3.6426 0.0000 0.0000
0.0000 5.6964 0.0000
0.0000 0.0000 11.5908
Ca La Mg
2 2 4
direct
0.0000 0.0000 0.0000 Ca
0.5000 0.5000 0.5000 Ca
0.0000 0.5000 0.2137 La
0.5000 0.0000 0.7137 La
0.0000 0.0000 0.4594 Mg
0.0000 0.5000 0.7533 Mg
0.5000 0.0000 0.2533 Mg
0.5000 0.5000 0.9594 Mg
```

Values from the calculation:
N(E_F)   4.65 states/eV/f.u.

---

## x
Density functional theory data (PBEsol) for crystalline CaLaMg2 at its relaxed geometry.

```
CaLaMg2
1.0
3.8968 0.0000 0.0000
0.0000 5.5631 0.0000
0.0000 0.0000 5.5637
Ca La Mg
1 1 2
direct
0.0000 0.0000 0.0000 Ca
0.0000 0.5000 0.5028 La
0.5000 0.0000 0.4993 Mg
0.5000 0.5000 0.0037 Mg
```

Values from the calculation:
N(E_F)   2.76 states/eV/f.u.

---

## y
Density functional theory data (PBEsol) for crystalline CaLaMg2 at its relaxed geometry.

```
CaLaMg2
1.0
3.9410 0.0000 0.0000
0.0000 3.9671 0.0000
0.0000 0.0000 7.6947
Ca La Mg
1 1 2
direct
0.0000 0.0000 0.0000 Ca
0.0000 0.0000 0.5000 La
0.5000 0.5000 0.2524 Mg
0.5000 0.5000 0.7476 Mg
```

Values from the calculation:
N(E_F)   3.83 states/eV/f.u.

---

Stability ranking, top entry: x; the second entry is 0.009 eV/atom less favorable.

---

## w
Density functional theory data (PBEsol) for crystalline CaLaMg2 at its relaxed geometry.

```
CaLaMg2
1.0
12.5460 0.0000 0.0000
0.0000 3.5317 0.0000
-2.0569 0.0000 5.4408
Ca La Mg
2 2 4
direct
0.0000 0.0000 0.0000 Ca
0.5000 0.5000 0.0000 Ca
0.2887 0.5000 0.3414 La
0.7887 0.0000 0.3414 La
0.0423 0.5000 0.5312 Mg
0.2452 0.0000 0.8154 Mg
0.5423 0.0000 0.5312 Mg
0.7452 0.5000 0.8154 Mg
```

Values from the calculation:
N(E_F)   4.71 states/eV/f.u.

---

## x
Density functional theory data (PBEsol) for crystalline CaLaMg2 at its relaxed geometry.

```
CaLaMg2
1.0
7.8323 0.0000 0.0000
0.0000 7.8323 0.0000
0.0000 0.0000 7.8323
Ca La Mg
4 4 8
direct
0.0000 0.0000 0.0000 Ca
0.0000 0.5000 0.5000 Ca
0.5000 0.0000 0.5000 Ca
0.5000 0.5000 0.0000 Ca
0.0000 0.0000 0.5000 La
0.0000 0.5000 0.0000 La
0.5000 0.0000 0.0000 La
0.5000 0.5000 0.5000 La
0.2500 0.2500 0.2500 Mg
0.2500 0.2500 0.7500 Mg
0.2500 0.7500 0.2500 Mg
0.2500 0.7500 0.7500 Mg
0.7500 0.2500 0.2500 Mg
0.7500 0.2500 0.7500 Mg
0.7500 0.7500 0.2500 Mg
0.7500 0.7500 0.7500 Mg
```

Values from the calculation:
N(E_F)   3.99 states/eV/f.u.

---

Stability ranking, top entry: x; the second entry is 0.080 eV/atom less favorable.

---

## w
Density functional theory data (PBEsol) for crystalline CaLa2Ni at its relaxed geometry.

```
CaLa2Ni
1.0
3.8950 0.0000 0.0000
-1.9475 3.3732 0.0000
0.0000 0.0000 29.3273
Ca La Ni
3 6 3
direct
0.0000 0.0000 0.0000 Ca
0.3333 0.6667 0.6667 Ca
0.6667 0.3333 0.3333 Ca
0.0000 0.0000 0.2223 La
0.0000 0.0000 0.7777 La
0.3333 0.6667 0.4444 La
0.3333 0.6667 0.8889 La
0.6667 0.3333 0.1111 La
0.6667 0.3333 0.5556 La
0.0000 0.0000 0.5000 Ni
0.3333 0.6667 0.1667 Ni
0.6667 0.3333 0.8333 Ni
```

Values from the calculation:
N(E_F)   5.60 states/eV/f.u.

---

## x
Density functional theory data (PBEsol) for crystalline CaLa2Ni at its relaxed geometry.

```
CaLa2Ni
1.0
6.2725 0.0000 0.0000
0.0000 10.6463 0.0000
-1.4884 0.0000 3.1400
Ca La Ni
2 4 2
direct
0.0000 0.0000 0.0000 Ca
0.5000 0.5000 0.0000 Ca
0.2500 0.2500 0.5000 La
0.2500 0.7500 0.5000 La
0.7500 0.2500 0.5000 La
0.7500 0.7500 0.5000 La
0.0000 0.5000 0.0000 Ni
0.5000 0.0000 0.0000 Ni
```

Values from the calculation:
N(E_F)   4.65 states/eV/f.u.

---

Stability ranking, top entry: w; the second entry is 0.412 eV/atom less favorable.

---

## w
Density functional theory data (PBEsol) for crystalline CaLa2Ni at its relaxed geometry.

```
CaLa2Ni
1.0
7.4788 0.0000 0.0000
0.0000 7.4788 0.0000
0.0000 0.0000 7.4788
Ca La Ni
4 8 4
direct
0.0000 0.0000 0.0000 Ca
0.0000 0.5000 0.5000 Ca
0.5000 0.0000 0.5000 Ca
0.5000 0.5000 0.0000 Ca
0.2500 0.2500 0.2500 La
0.2500 0.2500 0.7500 La
0.2500 0.7500 0.2500 La
0.2500 0.7500 0.7500 La
0.7500 0.2500 0.2500 La
0.7500 0.2500 0.7500 La
0.7500 0.7500 0.2500 La
0.7500 0.7500 0.7500 La
0.0000 0.0000 0.5000 Ni
0.0000 0.5000 0.0000 Ni
0.5000 0.0000 0.0000 Ni
0.5000 0.5000 0.5000 Ni
```

Values from the calculation:
N(E_F)   7.32 states/eV/f.u.

---

## x
Density functional theory data (PBEsol) for crystalline CaLa2Ni at its relaxed geometry.

```
CaLa2Ni
1.0
5.0410 0.0000 0.0000
0.0000 5.0568 0.0000
0.0000 0.0000 9.3403
Ca La Ni
2 4 2
direct
0.0000 0.0000 0.0000 Ca
0.5000 0.5000 0.0000 Ca
0.0000 0.5000 0.3321 La
0.0000 0.5000 0.6679 La
0.5000 0.0000 0.3321 La
0.5000 0.0000 0.6679 La
0.0000 0.0000 0.5000 Ni
0.5000 0.5000 0.5000 Ni
```

Values from the calculation:
N(E_F)   4.89 states/eV/f.u.

---

Stability ranking, top entry: x; the second entry is 0.347 eV/atom less favorable.

---

## w
Density functional theory data (PBEsol) for crystalline CaLa2Ni2 at its relaxed geometry.

```
CaLa2Ni2
1.0
5.0354 0.0000 0.0000
0.0000 5.0354 0.0000
0.0000 0.0000 10.5540
Ca La Ni
2 4 4
direct
0.0000 0.0000 0.0000 Ca
0.5000 0.5000 0.5000 Ca
0.0000 0.0000 0.3372 La
0.0000 0.0000 0.6628 La
0.5000 0.5000 0.1628 La
0.5000 0.5000 0.8372 La
0.0000 0.5000 0.2500 Ni
0.0000 0.5000 0.7500 Ni
0.5000 0.0000 0.2500 Ni
0.5000 0.0000 0.7500 Ni
```

Values from the calculation:
N(E_F)   5.04 states/eV/f.u.

---

## x
Density functional theory data (PBEsol) for crystalline CaLa2Ni2 at its relaxed geometry.

```
CaLa2Ni2
1.0
7.7430 0.0000 0.0000
0.0000 7.7430 0.0000
0.0000 0.0000 3.9359
Ca La Ni
2 4 4
direct
0.0000 0.0000 0.0000 Ca
0.5000 0.5000 0.0000 Ca
0.1601 0.3399 0.5000 La
0.3399 0.8399 0.5000 La
0.6601 0.1601 0.5000 La
0.8399 0.6601 0.5000 La
0.1204 0.6204 0.0000 Ni
0.3796 0.1204 0.0000 Ni
0.6204 0.8796 0.0000 Ni
0.8796 0.3796 0.0000 Ni
```

Values from the calculation:
N(E_F)   4.36 states/eV/f.u.

---

Stability ranking, top entry: x; the second entry is 0.277 eV/atom less favorable.

---

## w
Density functional theory data (PBEsol) for crystalline CaLaOs2 at its relaxed geometry.

```
CaLaOs2
1.0
3.1322 0.0000 0.0000
0.0000 3.1322 0.0000
0.0000 0.0000 8.1506
Ca La Os
1 1 2
direct
0.0000 0.0000 0.0000 Ca
0.0000 0.0000 0.5000 La
0.5000 0.5000 0.2494 Os
0.5000 0.5000 0.7506 Os
```

Values from the calculation:
N(E_F)   6.93 states/eV/f.u.

---

## x
Density functional theory data (PBEsol) for crystalline CaLaOs2 at its relaxed geometry.

```
CaLaOs2
1.0
5.9515 0.0000 0.0000
0.0000 9.2917 0.0000
-1.1726 0.0000 2.7112
Ca La Os
2 2 4
direct
0.0000 0.0000 0.0000 Ca
0.5000 0.5000 0.0000 Ca
0.0000 0.5000 0.0000 La
0.5000 0.0000 0.0000 La
0.2500 0.2500 0.5000 Os
0.2500 0.7500 0.5000 Os
0.7500 0.2500 0.5000 Os
0.7500 0.7500 0.5000 Os
```

Values from the calculation:
N(E_F)   2.54 states/eV/f.u.

---

Stability ranking, top entry: x; the second entry is 0.100 eV/atom less favorable.

---

## w
Density functional theory data (PBEsol) for crystalline CaLa2Os at its relaxed geometry.

```
CaLa2Os
1.0
4.9150 0.0000 0.0000
0.0000 4.9366 0.0000
0.0000 0.0000 10.1612
Ca La Os
2 4 2
direct
0.0000 0.0000 0.0000 Ca
0.5000 0.5000 0.0000 Ca
0.0000 0.5000 0.3301 La
0.0000 0.5000 0.6699 La
0.5000 0.0000 0.3301 La
0.5000 0.0000 0.6699 La
0.0000 0.0000 0.5000 Os
0.5000 0.5000 0.5000 Os
```

Values from the calculation:
N(E_F)   4.16 states/eV/f.u.

---

## x
Density functional theory data (PBEsol) for crystalline CaLa2Os at its relaxed geometry.

```
CaLa2Os
1.0
3.5773 0.0000 0.0000
0.0000 4.7351 0.0000
0.0000 0.0000 15.0148
Ca La Os
2 4 2
direct
0.0000 0.0000 0.0000 Ca
0.0000 0.5000 0.5000 Ca
0.0000 0.0000 0.6753 La
0.0000 0.5000 0.1753 La
0.5000 0.0000 0.3362 La
0.5000 0.5000 0.8362 La
0.5000 0.0000 0.1660 Os
0.5000 0.5000 0.6660 Os
```

Values from the calculation:
N(E_F)   3.94 states/eV/f.u.

---

Stability ranking, top entry: w; the second entry is 0.106 eV/atom less favorable.

---

## w
Density functional theory data (PBEsol) for crystalline CaLaPt at its relaxed geometry.

```
CaLaPt
1.0
6.9938 0.0000 0.0000
0.0000 6.9938 0.0000
0.0000 0.0000 6.9938
Ca La Pt
4 4 4
direct
0.0000 0.0000 0.0000 Ca
0.0000 0.5000 0.5000 Ca
0.5000 0.0000 0.5000 Ca
0.5000 0.5000 0.0000 Ca
0.0000 0.0000 0.5000 La
0.0000 0.5000 0.0000 La
0.5000 0.0000 0.0000 La
0.5000 0.5000 0.5000 La
0.2500 0.2500 0.7500 Pt
0.2500 0.7500 0.2500 Pt
0.7500 0.2500 0.2500 Pt
0.7500 0.7500 0.7500 Pt
```

Values from the calculation:
N(E_F)   3.48 states/eV/f.u.

---

## x
Density functional theory data (PBEsol) for crystalline CaLaPt at its relaxed geometry.

```
CaLaPt
1.0
4.0782 0.0000 0.0000
0.0000 4.0782 0.0000
0.0000 0.0000 5.7597
Ca La Pt
1 1 1
direct
0.0000 0.0000 0.0000 Ca
0.5000 0.5000 0.5000 La
0.0000 0.0000 0.5000 Pt
```

Values from the calculation:
N(E_F)   1.95 states/eV/f.u.

---

Stability ranking, top entry: x; the second entry is 0.065 eV/atom less favorable.

---

## w
Density functional theory data (PBEsol) for crystalline CaLa2Rh2 at its relaxed geometry.

```
CaLa2Rh2
1.0
7.9235 0.0000 0.0000
0.0000 7.9235 0.0000
0.0000 0.0000 3.8398
Ca La Rh
2 4 4
direct
0.0000 0.0000 0.0000 Ca
0.5000 0.5000 0.0000 Ca
0.1548 0.3452 0.5000 La
0.3452 0.8452 0.5000 La
0.6548 0.1548 0.5000 La
0.8452 0.6548 0.5000 La
0.1411 0.6411 0.0000 Rh
0.3589 0.1411 0.0000 Rh
0.6411 0.8589 0.0000 Rh
0.8589 0.3589 0.0000 Rh
```

Values from the calculation:
N(E_F)   2.62 states/eV/f.u.

---

## x
Density functional theory data (PBEsol) for crystalline CaLa2Rh2 at its relaxed geometry.

```
CaLa2Rh2
1.0
4.9156 0.0000 0.0000
0.0000 4.9156 0.0000
0.0000 0.0000 10.7507
Ca La Rh
2 4 4
direct
0.0000 0.0000 0.0000 Ca
0.5000 0.5000 0.5000 Ca
0.0000 0.5000 0.2500 La
0.0000 0.5000 0.7500 La
0.5000 0.0000 0.2500 La
0.5000 0.0000 0.7500 La
0.0000 0.0000 0.3794 Rh
0.0000 0.0000 0.6206 Rh
0.5000 0.5000 0.1206 Rh
0.5000 0.5000 0.8794 Rh
```

Values from the calculation:
N(E_F)   3.88 states/eV/f.u.

---

Stability ranking, top entry: w; the second entry is 0.207 eV/atom less favorable.